{
  "formula": "SiPb",
  "functional": "GGA-PBE",
  "state": "relaxed",
  "lattice": [[4.419, 0.000, 0.000], [0.000, 13.593, 0.000], [0.000, 0.000, 6.801]],
  "species": ["Si", "Si", "Si", "Si", "Si", "Si", "Pb", "Pb", "Pb", "Pb", "Pb", "Pb"],
  "fractional_positions": [[0.250, 0.101, 0.118], [0.250, 0.399, 0.118], [0.250, 0.750, 0.387], [0.750, 0.250, 0.613], [0.750, 0.601, 0.882], [0.750, 0.899, 0.882], [0.250, 0.250, 0.383], [0.250, 0.602, 0.120], [0.250, 0.898, 0.120], [0.750, 0.102, 0.880], [0.750, 0.398, 0.880], [0.750, 0.750, 0.617]],
  "energy_ha_per_atom": -0.1472,
  "formation_energy_uncorrected_ev_per_atom": 0.56,
  "dos_at_fermi_per_ev_fu": 0.28
}


{
  "formula": "NaLiAgF4",
  "functional": "GGA-PBE",
  "state": "relaxed",
  "lattice": [[-3.466, 3.509, 3.745], [3.466, -3.509, 3.745], [3.466, 3.509, -3.745]],
  "species": ["Na", "Na", "Li", "Li", "Ag", "Ag", "F", "F", "F", "F", "F", "F", "F", "F"],
  "fractional_positions": [[0.500, 0.000, 0.000], [0.500, 0.500, 0.500], [0.000, 0.000, 0.000], [0.500, 0.000, 0.500], [0.073, 0.323, 0.750], [0.927, 0.677, 0.250], [0.202, 0.149, 0.447], [0.202, 0.755, 0.053], [0.277, 0.734, 0.543], [0.310, 0.266, 0.043], [0.690, 0.734, 0.957], [0.723, 0.266, 0.457], [0.798, 0.245, 0.947], [0.798, 0.851, 0.553]],
  "energy_ha_per_atom": -0.1468,
  "formation_energy_uncorrected_ev_per_atom": -2.06,
  "dos_at_fermi_per_ev_fu": 1.37
}


{
  "formula": "Th4Os2AuSe",
  "functional": "GGA-PBE",
  "state": "relaxed",
  "lattice": [[7.269, 0.000, 0.000], [0.000, 4.154, 0.000], [-2.436, 0.000, 7.177]],
  "species": ["Th", "Th", "Th", "Th", "Os", "Os", "Au", "Se"],
  "fractional_positions": [[0.237, 0.000, 0.213], [0.261, 0.500, 0.784], [0.739, 0.500, 0.216], [0.763, 0.000, 0.787], [0.000, 0.500, 0.000], [0.500, 0.000, 0.000], [0.500, 0.500, 0.500], [0.000, 0.000, 0.500]],
  "energy_ha_per_atom": -0.2980,
  "formation_energy_uncorrected_ev_per_atom": -0.75,
  "dos_at_fermi_per_ev_fu": 5.27
}


{
  "formula": "RbSn12Au4",
  "functional": "GGA-PBE",
  "state": "relaxed",
  "lattice": [[-4.891, 4.891, 4.891], [4.891, -4.891, 4.891], [4.891, 4.891, -4.891]],
  "species": ["Rb", "Sn", "Sn", "Sn", "Sn", "Sn", "Sn", "Sn", "Sn", "Sn", "Sn", "Sn", "Sn", "Au", "Au", "Au", "Au"],
  "fractional_positions": [[0.000, 0.000, 0.000], [0.155, 0.506, 0.351], [0.155, 0.804, 0.649], [0.196, 0.351, 0.845], [0.351, 0.155, 0.506], [0.351, 0.845, 0.196], [0.494, 0.649, 0.845], [0.506, 0.351, 0.155], [0.649, 0.155, 0.804], [0.649, 0.845, 0.494], [0.804, 0.649, 0.155], [0.845, 0.196, 0.351], [0.845, 0.494, 0.649], [0.000, 0.000, 0.500], [0.000, 0.500, 0.000], [0.500, 0.000, 0.000], [0.500, 0.500, 0.500]],
  "energy_ha_per_atom": -0.1395,
  "formation_energy_ev_per_atom": -0.14,
  "dos_at_fermi_per_ev_fu": 10.32
}


{
  "formula": "Tb8Pm5Mg",
  "functional": "GGA-PBE",
  "state": "relaxed",
  "lattice": [[-4.835, 4.835, 5.004], [4.835, -4.835, 5.004], [4.835, 4.835, -5.004]],
  "species": ["Tb", "Tb", "Tb", "Tb", "Tb", "Tb", "Tb", "Tb", "Pm", "Pm", "Pm", "Pm", "Pm", "Mg"],
  "fractional_positions": [[0.082, 0.680, 0.771], [0.169, 0.273, 0.758], [0.320, 0.091, 0.402], [0.515, 0.411, 0.242], [0.589, 0.831, 0.104], [0.688, 0.918, 0.598], [0.727, 0.485, 0.896], [0.909, 0.312, 0.229], [0.226, 0.618, 0.186], [0.382, 0.568, 0.608], [0.432, 0.041, 0.814], [0.750, 0.250, 0.500], [0.959, 0.774, 0.392], [0.000, 0.000, 0.000]],
  "energy_ha_per_atom": -0.1555,
  "formation_energy_ev_per_atom": 0.22,
  "dos_at_fermi_per_ev_fu": 17.03
}


{
  "formula": "BaCo2Ag",
  "functional": "GGA-PBE",
  "state": "relaxed",
  "lattice": [[3.202, 0.000, 0.000], [0.000, 3.202, 0.000], [0.000, 0.000, 7.737]],
  "species": ["Ba", "Co", "Co", "Ag"],
  "fractional_positions": [[0.000, 0.000, 0.000], [0.000, 0.000, 0.435], [0.500, 0.500, 0.320], [0.500, 0.500, 0.659]],
  "energy_ha_per_atom": -0.1583,
  "formation_energy_ev_per_atom": 0.44,
  "dos_at_fermi_per_ev_fu": 3.16
}